Pm8Hg2Bi after structural relaxation. Source: Alexandria via LeMat-Bulk, functional PBE-GGA.

a = 9.8452 Å, b = 9.8452 Å, c = 7.2996 Å
α = 100.50°, β = 100.50°, γ = 30.85°
Last column: nearest neighbours and their distance in Å.
Positions (direct):
Pm  0.0291  0.0291  0.2492  1 Hg 3.14, 2 Bi 3.30
Pm  0.2004  0.2004  0.8188  3 Hg 3.04-3.37
Pm  0.3335  0.3335  0.5366  3 Hg 3.13-3.21, 1 Bi 3.22
Pm  0.4088  0.4088  0.0474  1 Bi 3.43, 8 Pm 3.59-3.73, 2 Hg 3.64
Pm  0.5912  0.5912  0.9526  1 Bi 3.43, 8 Pm 3.59-3.73, 2 Hg 3.64
Pm  0.6665  0.6665  0.4634  3 Hg 3.13-3.21, 1 Bi 3.22
Pm  0.7996  0.7996  0.1812  3 Hg 3.04-3.37
Pm  0.9709  0.9709  0.7508  1 Hg 3.14, 2 Bi 3.30
Hg  0.1931  0.1931  0.2319  7 Pm 3.04-3.37
Hg  0.8069  0.8069  0.7681  7 Pm 3.04-3.37
Bi  0.5000  0.5000  0.5000  8 Pm 3.22-3.43

Computed properties:
- N(E_F): 1.02 states/eV per atom
- Formation enthalpy at 0 K: -266.0 meV per atom
- Space group: C2/m (12)